CdCoTe2 after structural relaxation, computed with PBE.

Geometry as POSCAR:
```
CdCoTe2
1.0
3.831 0.000 0.000
0.000 3.831 0.000
0.000 0.000 7.306
Cd Co Te
1 1 2
Direct
0.000 0.000 0.000
0.500 0.500 0.252
0.000 0.000 0.381
0.500 0.500 0.864
```

N(E_F) ... 0.903 states/eV/atom
SG ... No. 99
Raw formation energy ... 0.188 eV/atom
Magnetization ... 1.990 Bohr magnetons per cell